[1]
Density functional theory data (PBE-GGA) for a relaxed Y2HfGaNi crystal.

Properties
* formation energy from the elements: 127 meV per atom
* DFT total energy: -6.21 eV per atom
* theoretical density: 6607 kg/m3
* Fermi-level density of states: 6.86 states/eV/f.u.

```
data_Y2HfGaNi
_symmetry_space_group_name_H-M 'P 4/m m m'
_symmetry_Int_Tables_number 123
_symmetry_space_group_name_Hall '-P 4 2'
_cell_length_a 5.156
_cell_length_b 5.156
_cell_length_c 4.582
_cell_angle_alpha 90.00
_cell_angle_beta 90.00
_cell_angle_gamma 90.00
loop_
_atom_site_label
_atom_site_fract_x
_atom_site_fract_y
_atom_site_fract_z
Y1 0.000 0.500 0.000
Hf1 0.000 0.000 0.500
Ga1 0.500 0.500 0.500
Ni1 0.500 0.500 0.000
```

=====

[2]
Density functional theory data (PBE-GGA) for a relaxed Hf2ZnGa2Ni5 crystal.

Properties
* formation energy from the elements: -295 meV per atom
* DFT total energy: -5.91 eV per atom
* theoretical density: 9970 kg/m3
* Fermi-level density of states: 7.81 states/eV/f.u.

```
data_Hf2ZnGa2Ni5
_symmetry_space_group_name_H-M 'P 4/m b m'
_symmetry_Int_Tables_number 127
_symmetry_space_group_name_Hall '-P 4 2ab'
_cell_length_a 9.457
_cell_length_b 9.457
_cell_length_c 3.186
_cell_angle_alpha 90.00
_cell_angle_beta 90.00
_cell_angle_gamma 90.00
loop_
_atom_site_label
_atom_site_fract_x
_atom_site_fract_y
_atom_site_fract_z
Hf1 0.173 0.327 0.000
Zn1 0.000 0.000 0.000
Ga1 0.129 0.629 0.000
Ni1 0.000 0.500 0.500
Ni2 0.035 0.797 0.500
```

=====

[3]
Density functional theory data (PBE-GGA) for a relaxed HfZrGaNi crystal.

Properties
* formation energy from the elements: -351 meV per atom
* DFT total energy: -7.18 eV per atom
* theoretical density: 9358 kg/m3
* Fermi-level density of states: 3.61 states/eV/f.u.

```
data_HfZrGaNi
_symmetry_space_group_name_H-M 'F -4 3 m'
_symmetry_Int_Tables_number 216
_symmetry_space_group_name_Hall 'F -4 2 3'
_cell_length_a 6.562
_cell_length_b 6.562
_cell_length_c 6.562
_cell_angle_alpha 90.00
_cell_angle_beta 90.00
_cell_angle_gamma 90.00
loop_
_atom_site_label
_atom_site_fract_x
_atom_site_fract_y
_atom_site_fract_z
Hf1 0.000 0.000 0.000
Zr1 0.000 0.000 0.500
Ga1 0.250 0.250 0.750
Ni1 0.250 0.250 0.250
```

=====

Q: What is the formula in the first record?
A: Y2HfGaNi

=====

Q: Which value of Fermi-level density of states does entry 3 give?
A: 3.61 states/eV/f.u.

=====

Q: The highest theoretical density belongs to which entry?
A: Hf2ZnGa2Ni5

=====

Q: The lowest Fermi-level density of states belongs to which entry?
A: HfZrGaNi